# TlAu2S3 | the Open Quantum Materials Database | PBE | relaxed
data_TlAu2S3
_cell_length_a 7.1678
_cell_length_b 12.4136
_cell_length_c 7.1249
_cell_angle_alpha 90.00
_cell_angle_beta 109.39
_cell_angle_gamma 90.00
_space_group_name_H-M_alt 'C 1 c 1'
_space_group_IT_number 9
_space_group_name_Hall 'C -2yc'
loop_
_atom_site_label
_atom_site_type_symbol
_atom_site_fract_x
_atom_site_fract_y
_atom_site_fract_z
Tl1 Tl 0.0000 0.0870 0.0000
Au1 Au 0.4649 0.0813 0.4753
Au2 Au 0.4946 0.2552 0.9835
S1 S 0.3524 0.4104 0.1061
S2 S 0.3605 0.2390 0.6194
S3 S 0.3894 0.0861 0.1153
# Electronic total energy = -3.512 eV per atom
# Volume = 598.0 Å³/cell